1.
Density functional theory data (PBE-GGA) for a geometry-optimized CaReBr2 structure.

Computed properties:
uncorrected formation energy: 0.239 eV/atom
DOS(E_F): 2.32 states/eV/f.u.
total DFT energy (no corrections): -4.21 eV/atom

Structure (CIF):
```
data_CaReBr2
_symmetry_space_group_name_H-M 'P 1 2/m 1'
_symmetry_Int_Tables_number 10
_symmetry_space_group_name_Hall '-P 2y'
_cell_length_a 4.7174
_cell_length_b 3.3661
_cell_length_c 5.8337
_cell_angle_alpha 90.00
_cell_angle_beta 113.17
_cell_angle_gamma 90.00
loop_
_atom_site_label
_atom_site_fract_x
_atom_site_fract_y
_atom_site_fract_z
Ca1 0.0000 0.0000 0.0000
Re1 0.5000 0.5000 0.5000
Br1 0.0000 0.0000 0.5000
Br2 0.5000 0.5000 0.0000
```


2.
Density functional theory data (PBE-GGA) for a geometry-optimized Zr2CrCl structure.

Computed properties:
uncorrected formation energy: 0.039 eV/atom
DOS(E_F): 4.08 states/eV/f.u.
total DFT energy (no corrections): -7.10 eV/atom

Structure (CIF):
```
data_Zr2CrCl
_symmetry_space_group_name_H-M 'C 1 2/m 1'
_symmetry_Int_Tables_number 12
_symmetry_space_group_name_Hall '-C 2y'
_cell_length_a 6.7197
_cell_length_b 7.4485
_cell_length_c 3.0955
_cell_angle_alpha 90.00
_cell_angle_beta 106.53
_cell_angle_gamma 90.00
loop_
_atom_site_label
_atom_site_fract_x
_atom_site_fract_y
_atom_site_fract_z
Zr1 0.2500 0.2500 0.0000
Cr1 0.0000 0.0000 0.5000
Cl1 0.0000 0.5000 0.5000
```